Entry 1:
Computed, not measured: a geometry-optimized V2ZnNi2 structure at the PBE level of DFT.

Properties
- raw total energy (eV/atom) = -6.29
- ΔE_f (eV per atom) = -0.077

a = 6.995 Å, b = 6.995 Å, c = 2.615 Å
α = 90.00°, β = 90.00°, γ = 90.00°
Space group P4/mbm (No. 127)
Symmetry-distinct sites (fractional):
V 0.172 0.328 0.000 (multiplicity 4)
Zn 0.000 0.000 0.500 (multiplicity 2)
Ni 0.124 0.624 0.500 (multiplicity 4)

Entry 2:
Computed, not measured: a geometry-optimized NaSm2SnO5 structure at the PBE level of DFT.

Properties
- raw total energy (eV/atom) = -6.66
- ΔE_f (raw) (eV/atom) = -2.27

a = 6.744 Å, b = 6.744 Å, c = 6.183 Å
α = 90.00°, β = 90.00°, γ = 90.00°
Space group P4/mbm (No. 127)
Symmetry-distinct sites (fractional):
Na 0.000 0.000 0.000 (multiplicity 2)
Sm 0.177 0.323 0.500 (multiplicity 4)
Sn 0.000 0.500 0.000 (multiplicity 2)
O 0.000 0.000 0.500 (multiplicity 2)
O 0.142 0.642 0.259 (multiplicity 8)

Entry 3:
Computed, not measured: a geometry-optimized Pr5U3As8 structure at the PBE level of DFT.

Properties
- raw total energy (eV/atom) = -7.14
- ΔE_f (eV per atom) = -1.203

a = 8.4017 Å, b = 8.4017 Å, c = 20.8454 Å
α = 90.00°, β = 90.00°, γ = 120.00°
Space group R-3m (No. 166, hexagonal axes)
Symmetry-distinct sites (fractional):
Pr 0.0000 0.0000 0.0000 (multiplicity 3)
Pr 0.0000 0.0000 0.5000 (multiplicity 3)
Pr 0.0000 0.5000 0.0000 (multiplicity 9)
U 0.0000 0.5000 0.5000 (multiplicity 9)
As 0.0000 0.0000 0.2450 (multiplicity 6)
As 0.0086 0.5043 0.7542 (multiplicity 18)

Entry 4:
Computed, not measured: a geometry-optimized FeSb2Os structure at the PBE level of DFT.

Properties
- raw total energy (eV/atom) = -6.53
- ΔE_f (raw) (eV/atom) = 0.46

a = 6.526 Å, b = 6.526 Å, c = 6.526 Å
α = 90.00°, β = 90.00°, γ = 90.00°
Space group Fm-3m (No. 225)
Symmetry-distinct sites (fractional):
Fe 0.000 0.000 0.000 (multiplicity 4)
Sb 0.250 0.250 0.250 (multiplicity 8)
Os 0.000 0.000 0.500 (multiplicity 4)

Entry 5:
Computed, not measured: a geometry-optimized Li3GeAu2 structure at the PBE level of DFT.

Properties
- raw total energy (eV/atom) = -3.15
- ΔE_f (eV per atom) = -0.328

a = 5.403 Å, b = 14.548 Å, c = 5.145 Å
α = 90.00°, β = 90.00°, γ = 90.00°
Space group Ibam (No. 72)
Symmetry-distinct sites (fractional):
Li 0.000 0.000 0.250 (multiplicity 4)
Li 0.165 0.327 0.000 (multiplicity 8)
Ge 0.000 0.500 0.250 (multiplicity 4)
Au 0.158 0.144 0.000 (multiplicity 8)